# AcCe3Fe

A relaxed structure of AcCe3Fe (PBE, Alexandria via LeMat-Bulk).

Computed properties:
Density of states at the Fermi level ... 14.7 states/eV/f.u.
Calculated formation energy ... 103 meV per atom
Raw total energy ... -0.4389 Ry per atom

a = 5.2696 Å, b = 5.2696 Å, c = 5.2696 Å
α = 90.00°, β = 90.00°, γ = 90.00°
Last column: nearest neighbours and their distance in Å.
Space group Pm-3m (No. 221)
Asymmetric unit:
Ac: 0.0000 0.0000 0.0000 [1 per cell]  12 Ce 3.73
Ce: 0.0000 0.5000 0.5000 [3 per cell]  2 Fe 2.63
Fe: 0.5000 0.5000 0.5000 [1 per cell]  6 Ce 2.63


# Ac8Ga3PdI4

A relaxed structure of Ac8Ga3PdI4 (PBE, Alexandria via LeMat-Bulk).

Computed properties:
Density of states at the Fermi level ... 15.1 states/eV/f.u.
Raw total energy ... -0.3030 Ry per atom
Energy relative to the elements, uncorrected ... -0.79 eV/atom

a = 9.3250 Å, b = 9.3250 Å, c = 24.2169 Å
α = 90.00°, β = 90.00°, γ = 120.00°
Last column: nearest neighbours and their distance in Å.
Space group R-3m (No. 166, hexagonal axes)
Asymmetric unit:
Ac: 0.0000 0.0000 0.2373 [6 per cell]  3 Ga 3.19, 3 I 3.56
Ac: 0.0043 0.5022 0.2334 [18 per cell]  1 Pd 3.11, 2 Ga 3.16
Ga: 0.0000 0.5000 0.5000 [9 per cell]  6 Ac 3.16-3.19
Pd: 0.0000 0.0000 0.5000 [3 per cell]  6 Ac 3.11
I: 0.0000 0.0000 0.0000 [3 per cell]  6 Ac 3.65
I: 0.0000 0.5000 0.0000 [9 per cell]  6 Ac 3.56-3.61


# PrTmCdGa

A relaxed structure of PrTmCdGa (PBE, Alexandria via LeMat-Bulk).

Computed properties:
Density of states at the Fermi level ... 3.5 states/eV/f.u.
Calculated formation energy ... -415 meV per atom
Raw total energy ... -0.2729 Ry per atom

a = 7.4326 Å, b = 7.4326 Å, c = 7.4326 Å
α = 90.00°, β = 90.00°, γ = 90.00°
Last column: nearest neighbours and their distance in Å.
Space group F-43m (No. 216)
Asymmetric unit:
Pr: 0.0000 0.0000 0.0000 [4 per cell]  4 Cd 3.22, 4 Ga 3.22
Tm: 0.0000 0.0000 0.5000 [4 per cell]  4 Cd 3.22, 4 Ga 3.22
Cd: 0.2500 0.2500 0.7500 [4 per cell]  4 Pr 3.22, 4 Tm 3.22
Ga: 0.2500 0.2500 0.2500 [4 per cell]  4 Pr 3.22, 4 Tm 3.22


# TlHgW2

A relaxed structure of TlHgW2 (PBE, Alexandria via LeMat-Bulk).

Computed properties:
Density of states at the Fermi level ... 2.1 states/eV/f.u.
Calculated formation energy ... 1000 meV per atom
Raw total energy ... -0.4516 Ry per atom

a = 2.9815 Å, b = 5.1149 Å, c = 10.0329 Å
α = 90.00°, β = 90.00°, γ = 90.00°
Last column: nearest neighbours and their distance in Å.
Space group Immm (No. 71)
Asymmetric unit:
Tl: 0.0000 0.0000 0.0000 [2 per cell]  4 W 2.92, 4 Hg 2.96, 2 Tl 2.98
Hg: 0.0000 0.0000 0.5000 [2 per cell]  4 W 2.91, 4 Tl 2.96, 2 Hg 2.98
W: 0.0000 0.5000 0.2495 [4 per cell]  2 Hg 2.91, 2 Tl 2.92, 6 W 2.96-2.98


# Tl4CdPb2

A relaxed structure of Tl4CdPb2 (PBE, Alexandria via LeMat-Bulk).

Computed properties:
Density of states at the Fermi level ... 5.2 states/eV/f.u.
Calculated formation energy ... 116 meV per atom
Raw total energy ... -0.1783 Ry per atom

a = 8.1828 Å, b = 8.1828 Å, c = 6.7582 Å
α = 90.00°, β = 90.00°, γ = 90.00°
Last column: nearest neighbours and their distance in Å.
Space group I4/mmm (No. 139)
Asymmetric unit:
Tl: 0.2079 0.2079 0.0000 [8 per cell]  1 Cd 3.38, 4 Pb 3.39, 4 Tl 3.40-3.52
Cd: 0.0000 0.0000 0.5000 [2 per cell]  4 Tl 3.38
Pb: 0.0000 0.5000 0.2500 [4 per cell]  2 Pb 3.38, 8 Tl 3.39


# TeCl3

A relaxed structure of TeCl3 (PBE, Alexandria via LeMat-Bulk).

Computed properties:
Density of states at the Fermi level ... 5.2 states/eV/f.u.
Raw total energy ... -0.1494 Ry per atom
Energy relative to the elements, uncorrected ... 0.14 eV/atom

a = 5.5113 Å, b = 5.5113 Å, c = 16.7919 Å
α = 90.00°, β = 90.00°, γ = 90.00°
Last column: nearest neighbours and their distance in Å.
Space group I-42d (No. 122)
Asymmetric unit:
Te: 0.0000 0.0000 0.0000 [4 per cell]  4 Cl 2.64
Cl: 0.0000 0.0000 0.5000 [4 per cell]  4 Cl 3.17
Cl: 0.1485 0.2500 0.1250 [8 per cell]  2 Te 2.64


# ScAlP

A relaxed structure of ScAlP (PBE, Alexandria via LeMat-Bulk).

Computed properties:
Density of states at the Fermi level ... 1.3 states/eV/f.u.
Calculated formation energy ... -729 meV per atom
Raw total energy ... -0.4329 Ry per atom

a = 9.3569 Å, b = 3.5428 Å, c = 6.6959 Å
α = 90.00°, β = 97.37°, γ = 90.00°
Last column: nearest neighbours and their distance in Å.
Space group C2/m (No. 12)
Asymmetric unit:
Sc: 0.1423 0.0000 0.1513 [4 per cell]  5 P 2.60-2.76
Al: 0.1373 0.0000 0.6014 [4 per cell]  2 P 2.47, 1 Al 2.75
P: 0.0792 0.5000 0.8358 [4 per cell]  2 Al 2.47, 5 Sc 2.60-2.76


# RbTl7Pb5

A relaxed structure of RbTl7Pb5 (PBE, Alexandria via LeMat-Bulk).

Computed properties:
Density of states at the Fermi level ... 6.9 states/eV/f.u.
Calculated formation energy ... -12 meV per atom
Raw total energy ... -0.2048 Ry per atom

a = 6.7296 Å, b = 11.4744 Å, c = 11.4143 Å
α = 90.00°, β = 90.00°, γ = 90.00°
Last column: nearest neighbours and their distance in Å.
Space group Imm2 (No. 44)
Asymmetric unit:
Rb: 0.0000 0.0000 0.0000 [2 per cell]  10 Tl 4.03-4.22, 10 Pb 4.17-4.39
Tl: 0.0000 0.0000 0.3577 [2 per cell]  1 Tl 3.30, 4 Pb 3.53
Tl: 0.0000 0.0000 0.6465 [2 per cell]  3 Tl 3.30-3.68, 4 Pb 3.54
Tl: 0.0000 0.2897 0.5004 [4 per cell]  5 Pb 3.34-3.45, 3 Tl 3.51-3.72
Tl: 0.0000 0.3548 0.9961 [4 per cell]  2 Tl 3.33-3.62, 5 Pb 3.48-3.61
Tl: 0.0000 0.5000 0.2773 [2 per cell]  4 Pb 3.35, 6 Tl 3.51-3.68
Pb: 0.0000 0.5000 0.7160 [2 per cell]  4 Pb 3.34, 6 Tl 3.45-3.73
Pb: 0.2497 0.2489 0.2499 [8 per cell]  3 Pb 3.34-3.37, 7 Tl 3.34-3.56


# TbSmMg3

A relaxed structure of TbSmMg3 (PBE, Alexandria via LeMat-Bulk).

Computed properties:
Density of states at the Fermi level ... 5.4 states/eV/f.u.
Calculated formation energy ... -41 meV per atom
Raw total energy ... -0.2107 Ry per atom

a = 5.2156 Å, b = 19.6875 Å, c = 10.5906 Å
α = 90.00°, β = 90.00°, γ = 90.00°
Last column: nearest neighbours and their distance in Å.
Space group Imma (No. 74)
Asymmetric unit:
Tb: 0.0000 0.2500 0.1201 [4 per cell]  8 Mg 3.23-3.38
Tb: 0.0000 0.2500 0.6242 [4 per cell]  8 Mg 3.24-3.49
Sm: 0.0000 0.0519 0.6259 [8 per cell]  9 Mg 3.27-3.60, 1 Sm 3.36
Mg: 0.0000 0.0576 0.1081 [8 per cell]  5 Mg 3.10-3.22, 2 Sm 3.39
Mg: 0.0000 0.1412 0.3645 [8 per cell]  3 Mg 3.10-3.17, 1 Sm 3.28, 3 Tb 3.36-3.38
Mg: 0.0000 0.1524 0.8748 [8 per cell]  1 Mg 3.10, 4 Tb 3.23-3.28, 3 Sm 3.27-3.30


# Ce2VGe3Ir4

A relaxed structure of Ce2VGe3Ir4 (PBE, Alexandria via LeMat-Bulk).

Computed properties:
Density of states at the Fermi level ... 12.2 states/eV/f.u.
Calculated formation energy ... -739 meV per atom
Raw total energy ... -0.5709 Ry per atom

a = 4.1847 Å, b = 4.1847 Å, c = 10.4099 Å
α = 90.00°, β = 90.00°, γ = 90.00°
Last column: nearest neighbours and their distance in Å.
Space group P-4m2 (No. 115)
Asymmetric unit:
Ce: 0.0000 0.5000 0.2467 [2 per cell]  8 Ir 3.19-3.37, 6 Ge 3.22-3.31, 2 V 3.31
V: 0.5000 0.5000 0.0000 [1 per cell]  4 Ir 2.50
Ge: 0.0000 0.0000 0.0000 [1 per cell]  4 Ir 2.50
Ge: 0.0000 0.5000 0.6316 [2 per cell]  5 Ir 2.46-2.50
Ir: 0.0000 0.0000 0.5000 [1 per cell]  4 Ge 2.50
Ir: 0.0000 0.5000 0.8679 [2 per cell]  3 Ge 2.46-2.50, 2 V 2.50
Ir: 0.5000 0.5000 0.5000 [1 per cell]  4 Ge 2.50


# Hf4Co4Ge7

A relaxed structure of Hf4Co4Ge7 (PBE, Alexandria via LeMat-Bulk).

Computed properties:
Density of states at the Fermi level ... 7.9 states/eV/f.u.
Calculated formation energy ... -559 meV per atom
Raw total energy ... -0.5338 Ry per atom

a = 13.1977 Å, b = 13.1977 Å, c = 5.2029 Å
α = 90.00°, β = 90.00°, γ = 90.00°
Last column: nearest neighbours and their distance in Å.
Space group I4/mmm (No. 139)
Asymmetric unit:
Hf: 0.0000 0.1953 0.0000 [8 per cell]  7 Ge 2.73-2.90
Hf: 0.1390 0.1390 0.5000 [8 per cell]  7 Ge 2.73-2.90
Co: 0.1490 0.3510 0.2500 [16 per cell]  6 Ge 2.43-2.48, 2 Co 2.60
Ge: 0.0000 0.0000 0.2511 [4 per cell]  2 Ge 2.59-2.61, 8 Hf 2.89-2.90
Ge: 0.0000 0.2918 0.5000 [8 per cell]  4 Co 2.48, 2 Hf 2.73
Ge: 0.0000 0.4058 0.0000 [8 per cell]  4 Co 2.47, 1 Ge 2.49
Ge: 0.2068 0.2068 0.0000 [8 per cell]  4 Co 2.43


# LaPrCuNi

A relaxed structure of LaPrCuNi (PBE, Alexandria via LeMat-Bulk).

Computed properties:
Density of states at the Fermi level ... 4.1 states/eV/f.u.
Calculated formation energy ... -164 meV per atom
Raw total energy ... -0.3719 Ry per atom

a = 7.1737 Å, b = 7.1737 Å, c = 7.1737 Å
α = 90.00°, β = 90.00°, γ = 90.00°
Last column: nearest neighbours and their distance in Å.
Space group F-43m (No. 216)
Asymmetric unit:
La: 0.0000 0.0000 0.0000 [4 per cell]  4 Ni 3.11, 4 Cu 3.11
Pr: 0.0000 0.0000 0.5000 [4 per cell]  4 Ni 3.11, 4 Cu 3.11
Cu: 0.2500 0.2500 0.7500 [4 per cell]  4 La 3.11, 4 Pr 3.11
Ni: 0.2500 0.2500 0.2500 [4 per cell]  4 La 3.11, 4 Pr 3.11


# LiMn2Cu

A relaxed structure of LiMn2Cu (PBE, Alexandria via LeMat-Bulk).

Computed properties:
Density of states at the Fermi level ... 3.4 states/eV/f.u.
Calculated formation energy ... 320 meV per atom
Raw total energy ... -0.4239 Ry per atom

a = 2.6420 Å, b = 4.2771 Å, c = 8.9538 Å
α = 90.00°, β = 90.00°, γ = 90.00°
Last column: nearest neighbours and their distance in Å.
Space group Immm (No. 71)
Asymmetric unit:
Li: 0.0000 0.0000 0.0000 [2 per cell]  4 Cu 2.51, 2 Li 2.64, 4 Mn 2.68
Mn: 0.0000 0.5000 0.2395 [4 per cell]  2 Cu 2.52, 6 Mn 2.52-2.64, 2 Li 2.68
Cu: 0.0000 0.0000 0.5000 [2 per cell]  4 Li 2.51, 4 Mn 2.52, 2 Cu 2.64


# K2ZnPH

A relaxed structure of K2ZnPH (PBE, Alexandria via LeMat-Bulk).

Computed properties:
Density of states at the Fermi level ... 0.0 states/eV/f.u.
Raw total energy ... -0.2048 Ry per atom

a = 6.8591 Å, b = 4.0731 Å, c = 9.4394 Å
α = 90.00°, β = 109.89°, γ = 90.00°
Last column: nearest neighbours and their distance in Å.
Space group P2_1/m (No. 11)
Asymmetric unit:
K: 0.1833 0.2500 0.4054 [2 per cell]  2 H 3.01, 1 Zn 3.33
K: 0.2262 0.2500 0.9533 [2 per cell]  3 H 2.75-2.97
Zn: 0.4654 0.7500 0.2487 [2 per cell]  1 H 1.72
P: 0.3569 0.7500 0.7127 [2 per cell]  2 Zn 2.34
H: 0.1982 0.7500 0.1749 [2 per cell]  1 Zn 1.72


# HoGe2W

A relaxed structure of HoGe2W (PBE, Alexandria via LeMat-Bulk).

Computed properties:
Density of states at the Fermi level ... 2.5 states/eV/f.u.
Calculated formation energy ... -119 meV per atom
Raw total energy ... -0.5006 Ry per atom

a = 3.7296 Å, b = 3.7296 Å, c = 20.0094 Å
α = 90.00°, β = 90.00°, γ = 120.00°
Last column: nearest neighbours and their distance in Å.
Space group R-3m (No. 166, hexagonal axes)
Asymmetric unit:
Ho: 0.0000 0.0000 0.0000 [3 per cell]  6 Ge 2.85
Ge: 0.0000 0.0000 0.2397 [6 per cell]  3 W 2.60, 3 Ho 2.85
W: 0.0000 0.0000 0.5000 [3 per cell]  6 Ge 2.60


# Li2PtCl2

A relaxed structure of Li2PtCl2 (PBE, Alexandria via LeMat-Bulk).

Computed properties:
Density of states at the Fermi level ... 8.2 states/eV/f.u.
Raw total energy ... -0.2335 Ry per atom
Energy relative to the elements, uncorrected ... -0.47 eV/atom

a = 4.0762 Å, b = 4.0762 Å, c = 11.2052 Å
α = 90.00°, β = 90.00°, γ = 90.00°
Last column: nearest neighbours and their distance in Å.
Space group I4/mmm (No. 139)
Asymmetric unit:
Li: 0.0000 0.5000 0.2500 [4 per cell]  4 Cl 2.36
Pt: 0.0000 0.0000 0.0000 [2 per cell]  8 Cl 3.30, 8 Li 3.46
Cl: 0.0000 0.0000 0.3570 [4 per cell]  4 Li 2.36


# ScCo

A relaxed structure of ScCo (PBE, Alexandria via LeMat-Bulk).

Computed properties:
Density of states at the Fermi level ... 1.4 states/eV/f.u.
Calculated formation energy ... 523 meV per atom
Raw total energy ... -0.4553 Ry per atom

a = 4.2772 Å, b = 4.2772 Å, c = 5.1059 Å
α = 90.00°, β = 90.00°, γ = 120.00°
Last column: nearest neighbours and their distance in Å.
Space group P6_3/mmc (No. 194)
Asymmetric unit:
Sc: 0.3333 0.6667 0.2500 [2 per cell]  5 Co 2.47-2.55
Co: 0.3333 0.6667 0.7500 [2 per cell]  5 Sc 2.47-2.55


# ReNi2Se

A relaxed structure of ReNi2Se (PBE, Alexandria via LeMat-Bulk).

Computed properties:
Density of states at the Fermi level ... 2.9 states/eV/f.u.
Raw total energy ... -0.4802 Ry per atom
Energy relative to the elements, uncorrected ... 0.34 eV/atom

a = 4.2049 Å, b = 4.2049 Å, c = 5.9380 Å
α = 90.00°, β = 90.00°, γ = 90.00°
Last column: nearest neighbours and their distance in Å.
Space group I-4m2 (No. 119)
Asymmetric unit:
Re: 0.0000 0.0000 0.0000 [2 per cell]  4 Se 2.57, 4 Ni 2.57
Ni: 0.0000 0.0000 0.5000 [2 per cell]  4 Se 2.57, 4 Ni 2.57
Ni: 0.0000 0.5000 0.2500 [2 per cell]  4 Re 2.57, 4 Ni 2.57
Se: 0.0000 0.5000 0.7500 [2 per cell]  4 Re 2.57, 4 Ni 2.57


# NdY2Si6

A relaxed structure of NdY2Si6 (PBE, Alexandria via LeMat-Bulk).

Computed properties:
Density of states at the Fermi level ... 5.1 states/eV/f.u.
Raw total energy ... -0.4502 Ry per atom
Energy relative to the elements, uncorrected ... -0.54 eV/atom

a = 7.1308 Å, b = 7.1308 Å, c = 4.0228 Å
α = 90.00°, β = 90.00°, γ = 120.00°
Last column: nearest neighbours and their distance in Å.
Space group P6/mmm (No. 191)
Asymmetric unit:
Nd: 0.0000 0.0000 0.0000 [1 per cell]  12 Si 3.13
Y: 0.3333 0.6667 0.0000 [2 per cell]  12 Si 3.11
Si: 0.0000 0.3357 0.5000 [6 per cell]  3 Si 2.34-2.39


# Ti2TlS

A relaxed structure of Ti2TlS (PBE, Alexandria via LeMat-Bulk).

Computed properties:
Density of states at the Fermi level ... 5.2 states/eV/f.u.
Raw total energy ... -0.4111 Ry per atom
Energy relative to the elements, uncorrected ... -0.02 eV/atom

a = 6.5729 Å, b = 6.5729 Å, c = 6.5729 Å
α = 90.00°, β = 90.00°, γ = 90.00°
Last column: nearest neighbours and their distance in Å.
Space group Fm-3m (No. 225)
Asymmetric unit:
Ti: 0.2500 0.2500 0.2500 [8 per cell]  4 S 2.85, 4 Tl 2.85
Tl: 0.0000 0.0000 0.0000 [4 per cell]  8 Ti 2.85
S: 0.0000 0.0000 0.5000 [4 per cell]  8 Ti 2.85